Computed, not measured: an optimized crystal structure of LaBe at the PBE level of DFT.

Computed properties:
* calculated total energy: -3.986 eV/atom
* magnetization: 0.0 μB/cell
* formation enthalpy at 0 K: 0.3404 eV/atom

Cell lengths 3.1215, 3.1215, 8.5883 Å; angles 90.00, 90.00, 90.00 degrees
Last column: nearest neighbours and their distance in Å.
Space group P4/nmm (No. 129, origin choice 2)
Unique sites:
La (0.2500, 0.2500, 0.1899) x2  5 Be 3.09-3.14, 4 La 3.12
Be (0.2500, 0.2500, 0.5493) x2  4 Be 2.36